Li4Fe3Co3Sb2O16: optimized geometry, GGA+U.

E   -5.883 eV per atom

a = 5.8595 Å, b = 5.8595 Å, c = 9.5650 Å
α = 90.64°, β = 90.64°, γ = 59.69°
Fractional coordinates of all 28 atoms:
O 0.6642 0.6642 0.8820
O 0.9709 0.5233 0.6565
Li 0.3351 0.3351 0.5953
Fe 0.8292 0.8292 0.7847
O 0.3310 0.3310 0.3834
Co 0.8294 0.3369 0.7883
Li 0.9984 0.9984 0.0094
O 0.0308 0.4901 0.1559
O 0.0016 0.0016 0.1987
O 0.5233 0.9709 0.6565
Co 0.1683 0.1683 0.2888
O 0.3270 0.8353 0.4053
Li 0.0007 0.0007 0.5101
Fe 0.1693 0.6601 0.2858
O 0.0005 0.0005 0.7004
O 0.4901 0.0308 0.1559
Sb 0.6685 0.6685 0.5132
O 0.1605 0.6702 0.9045
Sb 0.3321 0.3321 0.0142
O 0.5176 0.5176 0.6534
O 0.1619 0.1619 0.9055
Fe 0.6601 0.1693 0.2858
Co 0.3369 0.8294 0.7883
O 0.4837 0.4837 0.1607
O 0.8353 0.3270 0.4053
Li 0.6655 0.6655 0.0974
O 0.8378 0.8378 0.4026
O 0.6702 0.1605 0.9045